! ZnCoPO2 (GGA+U, relaxed); values from VASP
! Total moment ... 3.9 Bohr magnetons per cell
! ΔE to the lowest computed polymorph ... 0.455 eV per atom
! Symmetry ... P4/mmm (123)
! N(E_F) ... 3.97 states/eV/cell
&SYSTEM
  ibrav = 0, nat = 5, ntyp = 4
/
ATOMIC_SPECIES
Zn 65.41 Zn.upf
Co 58.93 Co.upf
P 30.97 P.upf
O 16.00 O.upf
ATOMIC_POSITIONS crystal
Zn 0.0000 0.0000 0.0000
Co 0.5000 0.5000 0.5000
P 0.0000 0.0000 0.5000
O 0.0000 0.5000 0.0000
O 0.5000 0.0000 0.0000
CELL_PARAMETERS angstrom
3.6912 0.0000 0.0000
0.0000 3.6912 0.0000
0.0000 0.0000 5.4186